This record from Alexandria describes a relaxed structure of Th2ScSe5. The functional is PBE.

Cell: 5.747 7.195 13.583 Å, 90.00 90.00 113.54°
Fractional positions:
Sc1 0.797 0.594 0.750
Th1 0.843 0.686 0.061
Se1 0.670 0.339 0.586
Sc2 0.203 0.406 0.250
Se2 0.950 0.899 0.623
Th2 0.843 0.686 0.439
Th3 0.157 0.314 0.561
Se3 0.050 0.101 0.123
Se4 0.330 0.661 0.086
Th4 0.157 0.314 0.939
Se5 0.730 0.461 0.250
Se6 0.270 0.539 0.750
Se7 0.950 0.899 0.877
Se8 0.050 0.101 0.377
Se9 0.330 0.661 0.414
Se10 0.670 0.339 0.914

Computed properties:
Symmetry: Cmcm, No. 63
Energy relative to the elements, uncorrected in eV per atom: -1.604
Energy above the most stable polymorph in this dataset in eV/atom: 0.108
Final energy in eV per atom: -6.4285

---

This record from Alexandria describes a relaxed structure of ThScSe2. The functional is PBE.

Cell: 3.777 3.777 7.929 Å, 76.22 76.22 60.00°
Fractional positions:
Th1 0.668 0.668 0.996
Sc1 0.498 0.498 0.506
Se1 0.241 0.241 0.276
Se2 0.092 0.092 0.723

Computed properties:
Symmetry: R3m, No. 160
Energy relative to the elements, uncorrected in eV per atom: -1.500
Energy above the most stable polymorph in this dataset in eV/atom: 0.056
Final energy in eV per atom: -6.6796

---

This record from Alexandria describes a relaxed structure of Th2ScSe3. The functional is PBE.

Cell: 6.994 6.994 7.292 Å, 99.21 99.21 119.89°
Fractional positions:
Th1 0.177 0.823 0.500
Se1 0.256 0.237 0.768
Sc1 0.002 0.998 0.000
Se2 0.904 0.590 0.768
Se3 0.763 0.744 0.232
Se4 0.410 0.096 0.232
Th2 0.333 0.667 0.000
Se5 0.614 0.947 0.780
Th3 0.833 0.167 0.500
Th4 0.490 0.510 0.500
Se6 0.053 0.386 0.220
Sc2 0.664 0.336 0.000

Computed properties:
Symmetry: C2/m, No. 12
Energy relative to the elements, uncorrected in eV per atom: -1.532
Final energy in eV per atom: -6.8027

---

This record from Alexandria describes a relaxed structure of ThScSe4. The functional is PBE.

Cell: 5.610 7.728 6.986 Å, 90.00 89.98 90.00°
Fractional positions:
Se1 0.749 0.750 0.692
Th1 0.500 0.500 0.000
Se2 0.751 0.250 0.308
Sc1 0.500 0.000 0.500
Se3 0.501 0.148 0.836
Sc2 0.000 0.500 0.500
Se4 0.251 0.250 0.308
Se5 0.999 0.648 0.164
Se6 0.249 0.750 0.692
Se7 0.499 0.852 0.164
Se8 0.001 0.352 0.836
Th2 0.000 0.000 0.000

Computed properties:
Symmetry: P2_1/c, No. 14
Energy relative to the elements, uncorrected in eV per atom: -1.390
Final energy in eV per atom: -6.0051

---

This record from Alexandria describes a relaxed structure of Th2ScSe5. The functional is PBE.

Cell: 8.254 7.987 12.160 Å, 90.00 90.00 90.00°
Fractional positions:
Se1 0.183 0.250 0.810
Th1 0.520 0.000 0.180
Se2 0.667 0.500 0.405
Se3 0.500 0.250 0.000
Th2 0.480 0.500 0.820
Th3 0.980 0.500 0.680
Th4 0.520 0.500 0.180
Se4 0.333 0.000 0.595
Se5 0.500 0.750 0.000
Se6 0.683 0.250 0.690
Se7 0.317 0.750 0.310
Se8 0.817 0.750 0.190
Se9 0.000 0.250 0.500
Se10 0.683 0.750 0.690
Se11 0.167 0.500 0.095
Se12 0.833 0.000 0.905
Sc1 0.000 0.750 0.000
Se13 0.167 0.000 0.095
Se14 0.817 0.250 0.190
Sc2 0.500 0.250 0.500
Se15 0.667 0.000 0.405
Th5 0.020 0.000 0.320
Se16 0.317 0.250 0.310
Th6 0.020 0.500 0.320
Se17 0.183 0.750 0.810
Se18 0.333 0.500 0.595
Se19 0.833 0.500 0.905
Sc3 0.000 0.250 0.000
Th7 0.480 0.000 0.820
Se20 0.000 0.750 0.500
Th8 0.980 0.000 0.680
Sc4 0.500 0.750 0.500

Computed properties:
Symmetry: Pbam, No. 55
Energy relative to the elements, uncorrected in eV per atom: -1.712
Energy above the most stable polymorph in this dataset in eV/atom: 0.000
Final energy in eV per atom: -6.5365

---

This record from Alexandria describes a relaxed structure of ThScSe2. The functional is PBE.

Cell: 4.097 4.093 11.394 Å, 90.00 90.00 90.00°
Fractional positions:
Sc1 0.701 0.482 0.990
Se1 0.701 0.484 0.751
Th1 0.701 0.484 0.488
Sc2 0.201 0.982 0.226
Se2 0.701 0.483 0.226
Se3 0.201 0.983 0.990
Th2 0.201 0.984 0.728
Se4 0.201 0.984 0.465

Computed properties:
Symmetry: Pmn2_1, No. 31
Energy relative to the elements, uncorrected in eV per atom: -1.521
Energy above the most stable polymorph in this dataset in eV/atom: 0.035
Final energy in eV per atom: -6.7007

---

This record from Alexandria describes a relaxed structure of ThSc3Se4. The functional is PBE.

Cell: 3.894 3.894 26.822 Å, 90.00 90.00 120.00°
Fractional positions:
Se1 0.333 0.667 0.059
Sc1 0.333 0.667 0.618
Se2 0.667 0.333 0.941
Th1 0.667 0.333 0.750
Sc2 0.333 0.667 0.882
Se3 0.000 0.000 0.824
Se4 0.667 0.333 0.559
Th2 0.333 0.667 0.250
Se5 0.000 0.000 0.176
Sc3 0.667 0.333 0.382
Sc4 0.000 0.000 0.000
Se6 0.000 0.000 0.324
Sc5 0.000 0.000 0.500
Se7 0.000 0.000 0.676
Sc6 0.667 0.333 0.118
Se8 0.333 0.667 0.441

Computed properties:
Symmetry: P6_3/mmc, No. 194
Energy relative to the elements, uncorrected in eV per atom: -1.566
Final energy in eV per atom: -6.6097

---

This record from Alexandria describes a relaxed structure of Th2ScSe4. The functional is PBE.

Cell: 3.864 7.052 14.254 Å, 90.00 90.00 105.90°
Fractional positions:
Se1 0.204 0.408 0.633
Th1 0.143 0.286 0.070
Th2 0.857 0.714 0.570
Sc1 0.380 0.759 0.250
Th3 0.857 0.714 0.930
Sc2 0.620 0.241 0.750
Se2 0.030 0.060 0.250
Se3 0.796 0.592 0.133
Th4 0.143 0.286 0.430
Se4 0.500 0.000 0.500
Se5 0.970 0.940 0.750
Se6 0.500 0.000 0.000
Se7 0.796 0.592 0.367
Se8 0.204 0.408 0.867

Computed properties:
Symmetry: Cmcm, No. 63
Energy relative to the elements, uncorrected in eV per atom: -1.525
Final energy in eV per atom: -6.5407

---

- Number 5 is which compound?
  Th2ScSe5

---

Repeat the third record exactly.
This record from Alexandria describes a relaxed structure of Th2ScSe3. The functional is PBE.

Cell: 6.994 6.994 7.292 Å, 99.21 99.21 119.89°
Fractional positions:
Th1 0.177 0.823 0.500
Se1 0.256 0.237 0.768
Sc1 0.002 0.998 0.000
Se2 0.904 0.590 0.768
Se3 0.763 0.744 0.232
Se4 0.410 0.096 0.232
Th2 0.333 0.667 0.000
Se5 0.614 0.947 0.780
Th3 0.833 0.167 0.500
Th4 0.490 0.510 0.500
Se6 0.053 0.386 0.220
Sc2 0.664 0.336 0.000

Computed properties:
Symmetry: C2/m, No. 12
Energy relative to the elements, uncorrected in eV per atom: -1.532
Final energy in eV per atom: -6.8027

---

- What is the energy relative to the elements, uncorrected in the fourth record?
  -1.390 eV per atom

---

- final energy of number 7 (ThSc3Se4)?
  -6.6097 eV per atom